# Tb2CuSiPt6

A geometry-optimized Tb2CuSiPt6 structure (GGA-PBE, Alexandria).

extended XYZ file:
```
10
Lattice="2.787 1.609 7.347 -2.787 1.609 7.347 0.000 -3.218 7.347" Properties=species:S:1:pos:R:3 pbc="T T T"
Tb 0.000 0.000 4.469
Tb 0.000 0.000 17.572
Cu 0.000 0.000 11.020
Si 0.000 0.000 0.000
Pt 0.000 -1.575 9.052
Pt -1.364 0.787 9.052
Pt -1.364 -0.787 12.988
Pt 1.364 0.787 9.052
Pt 1.364 -0.787 12.988
Pt 0.000 1.575 12.988
```

Results
energy = -63.29 eV/f.u.
energy relative to the elements, uncorrected = -79.76 kJ per mole of atoms
volume = 19.8 Å³/atom